No. 1
The following is a GGA-PBE calculation of an optimized crystal structure of Be2CdBi, from OQMD via LeMat-Bulk.

abc: 4.8043 4.8043 4.8043
angles: 60.00 60.00 60.00
With the nearest neighbours (Å) after each atom.
Atoms (fractional coordinates):
Be  0.0000  0.0000  0.0000  4 Cd 2.94, 4 Be 2.94
Be  0.7500  0.7500  0.7500  4 Be 2.94, 4 Bi 2.94
Bi  0.5000  0.5000  0.5000  4 Be 2.94, 4 Cd 2.94
Cd  0.2500  0.2500  0.2500  4 Be 2.94, 4 Bi 2.94

Results
* final energy: -2.213 eV per atom


No. 2
The following is a GGA-PBE calculation of an optimized crystal structure of NdBr2Cl, from OQMD via LeMat-Bulk.

abc: 7.7534 4.3383 7.8936
angles: 90.00 119.05 90.00
With the nearest neighbours (Å) after each atom.
Atoms (fractional coordinates):
Br  0.7190  0.0000  0.0859  3 Nd 3.06-3.22
Br  0.3769  0.0000  0.2920  3 Nd 3.05-3.09
Br  0.9094  0.0000  0.6212  3 Nd 3.03-3.16
Br  0.3029  0.5000  0.9155  3 Nd 3.04-3.15
Cl  0.0918  0.5000  0.4089  3 Nd 2.93-3.01
Cl  0.5925  0.5000  0.6811  3 Nd 2.90-3.09
Nd  0.6724  0.5000  0.3338  2 Cl 3.01-3.09, 7 Br 3.03-3.15
Nd  0.3350  0.0000  0.6615  4 Cl 2.90-2.93, 5 Br 3.04-3.22

Results
* M_tot: 0.0 μB per formula unit
* offset from the most stable computed form: 0.013 eV per atom


No. 3
The following is a GGA-PBE calculation of an optimized crystal structure of CsMgBiPt, from OQMD via LeMat-Bulk.

abc: 5.4548 5.4548 5.4548
angles: 60.00 60.00 60.00
With the nearest neighbours (Å) after each atom.
Atoms (fractional coordinates):
Bi  0.0000  0.0000  0.0000  4 Mg 3.34, 4 Cs 3.34
Cs  0.2500  0.2500  0.2500  4 Pt 3.34, 4 Bi 3.34
Mg  0.7500  0.7500  0.7500  4 Bi 3.34, 4 Pt 3.34
Pt  0.5000  0.5000  0.5000  4 Cs 3.34, 4 Mg 3.34

Results
* M_tot: 0.0 μB per formula unit
* offset from the most stable computed form: 0.115 eV per atom


No. 4
The following is a GGA-PBE calculation of an optimized crystal structure of NdSmIBr2N, from OQMD via LeMat-Bulk.

abc: 9.5226 9.5226 11.7739
angles: 122.84 122.84 24.57
With the nearest neighbours (Å) after each atom.
Atoms (fractional coordinates):
Br  0.6703  0.6703  0.0144  3 Nd 3.04-3.12
Br  0.7874  0.7874  0.3814  2 Sm 2.96, 1 Nd 3.05
Br  0.2126  0.2126  0.6186  2 Sm 2.96, 1 Nd 3.05
Br  0.3297  0.3297  0.9856  3 Nd 3.04-3.12
I  0.0468  0.0468  0.2310  2 Sm 3.18, 1 Nd 3.25
I  0.9532  0.9532  0.7690  2 Sm 3.18, 1 Nd 3.25
N  0.4285  0.4285  0.3470  2 Sm 2.30-2.31, 2 Nd 2.43
N  0.5715  0.5715  0.6530  2 Sm 2.30-2.31, 2 Nd 2.43
Nd  0.8658  0.8658  0.2128  2 N 2.43
Nd  0.1342  0.1342  0.7872  2 N 2.43
Sm  0.5764  0.5764  0.4610  2 N 2.30-2.31
Sm  0.4236  0.4236  0.5390  2 N 2.30-2.31

Results
* M_tot: 0.0 μB per formula unit
* offset from the most stable computed form: 0.010 eV per atom